Below is crystalline NaCrCdO4 at its relaxed geometry, with properties calculated at the PBE with a Hubbard U level.

Structure (POSCAR):
```
NaCrCdO4
1.0
5.593 0.000 0.140
0.000 6.028 0.000
-2.019 0.000 5.941
Na Cr Cd O
2 2 2 8
Direct
0.900 0.750 0.503
0.100 0.250 0.497
0.323 0.750 0.322
0.677 0.250 0.678
0.784 0.750 0.957
0.216 0.250 0.043
0.903 0.468 0.762
0.097 0.968 0.238
0.097 0.532 0.238
0.903 0.032 0.762
0.537 0.750 0.178
0.463 0.250 0.822
0.427 0.750 0.600
0.573 0.250 0.400
```

Values from the calculation:
density	4.1	g/cm³
electronic total energy	-5.55	eV per atom